The following is a PBE-GGA calculation of an optimized crystal structure of Nb7S8, from Alexandria.

Computed properties:
Magnetic moment: 0.0 Bohr magnetons per cell
Energy relative to the elements, uncorrected: -14.70 eV per formula unit

extended XYZ file:
```
15
Lattice="6.757 0.000 0.000 -3.378 5.851 0.000 0.000 0.000 6.452" Properties=species:S:1:pos:R:3 pbc="T T T"
Nb 0.000 0.000 0.000
Nb -1.467 3.054 6.406
Nb 1.467 3.054 6.406
Nb 0.000 5.595 6.406
Nb 3.378 0.272 3.183
Nb 1.925 2.790 3.183
Nb 4.832 2.790 3.183
S 0.000 1.903 1.669
S -1.730 4.900 1.669
S 1.649 0.952 4.835
S 0.000 3.901 4.553
S 3.378 1.950 1.340
S 1.730 4.900 1.669
S 5.108 0.952 4.835
S 3.378 3.947 4.835
```